## Er2CF2 (PBE)

Data for a relaxed structure of Er2CF2.

Properties
Spin magnetization   0.000 μB per cell
Electronic total energy   -0.2523 Ha/atom

Structure (CIF):
```
data_Er2CF2
_cell_length_a 3.5899
_cell_length_b 3.5899
_cell_length_c 6.2393
_cell_angle_alpha 90.00
_cell_angle_beta 90.00
_cell_angle_gamma 120.00
_space_group_name_H-M_alt 'P -3 m 1'
_space_group_IT_number 164
_space_group_name_Hall '-P 3 2"'
loop_
_atom_site_label
_atom_site_fract_x
_atom_site_fract_y
_atom_site_fract_z
Er1 0.3333 0.6667 0.2124
C1 0.0000 0.0000 0.0000
F1 0.3333 0.6667 0.6132
```